Below is an optimized crystal structure of MnGeS4, with properties calculated at the PBE level.

Properties
Formation energy without anion corrections, eV/atom: -0.376
V, Å³ per atom: 21.8
SG: C2/m (12)
Total magnetization, Bohr magnetons per cell: 2.8
Total energy, eV/atom: -5.4251

Cell lengths 3.358, 5.973, 7.403 Å; angles 114.79, 103.11, 90.00 degrees
Element x y z (fractional)
Mn 0.000 0.000 0.000
Ge 0.500 0.500 0.000
S 0.602 0.268 0.204
S 0.895 0.210 0.791
S 0.398 0.732 0.796
S 0.105 0.790 0.209

---

Below is an optimized crystal structure of MnGeS3, with properties calculated at the PBE level.

Properties
Formation energy without anion corrections, eV/atom: 0.111
V, Å³ per atom: 19.2
SG: Pm-3m (221)
Total magnetization, Bohr magnetons per cell: 3.7
Total energy, eV/atom: -5.1226
Energy relative to the lowest polymorph listed for this composition, eV per atom: 0.4545

Cell lengths 4.577, 4.577, 4.577 Å; angles 90.00, 90.00, 90.00 degrees
Element x y z (fractional)
Ge 0.500 0.500 0.500
Mn 0.000 0.000 0.000
S 0.000 0.500 0.000
S 0.000 0.000 0.500
S 0.500 0.000 0.000

---

Below is an optimized crystal structure of MnGeS3, with properties calculated at the PBE level.

Properties
Formation energy without anion corrections, eV/atom: -0.343
V, Å³ per atom: 21.0
SG: C2/c (15)
Total magnetization, Bohr magnetons per cell: 11.8
Total energy, eV/atom: -5.5770
Energy relative to the lowest polymorph listed for this composition, eV per atom: 0.0000

Cell lengths 5.976, 8.508, 8.508 Å; angles 76.11, 90.36, 90.36 degrees
Element x y z (fractional)
Mn 0.750 0.252 0.748
Mn 0.750 0.580 0.420
Mn 0.250 0.420 0.580
Mn 0.250 0.748 0.252
Ge 0.742 0.717 0.912
Ge 0.242 0.912 0.717
Ge 0.758 0.088 0.283
Ge 0.258 0.283 0.088
S 0.601 0.986 0.792
S 0.101 0.792 0.986
S 0.920 0.509 0.677
S 0.934 0.827 0.375
S 0.420 0.677 0.509
S 0.434 0.375 0.827
S 0.566 0.625 0.173
S 0.580 0.323 0.491
S 0.066 0.173 0.625
S 0.080 0.491 0.323
S 0.899 0.208 0.014
S 0.399 0.014 0.208

---

Below is an optimized crystal structure of Mn3GeS6, with properties calculated at the PBE level.

Properties
Formation energy without anion corrections, eV/atom: -0.313
V, Å³ per atom: 18.1
SG: Cmc2_1 (36)
Total magnetization, Bohr magnetons per cell: 22.0
Total energy, eV/atom: -6.0024

Cell lengths 6.225, 7.746, 7.746 Å; angles 104.11, 90.00, 90.00 degrees
Element x y z (fractional)
Mn 0.465 0.922 0.687
Mn 0.965 0.687 0.922
Mn 0.389 0.399 0.601
Mn 0.889 0.601 0.399
Mn 0.965 0.078 0.313
Mn 0.465 0.313 0.078
Ge 0.012 0.170 0.830
Ge 0.512 0.830 0.170
S 0.150 0.701 0.642
S 0.650 0.642 0.701
S 0.209 0.446 0.894
S 0.709 0.894 0.446
S 0.313 0.030 0.970
S 0.624 0.226 0.774
S 0.124 0.774 0.226
S 0.813 0.970 0.030
S 0.209 0.106 0.554
S 0.709 0.554 0.106
S 0.150 0.358 0.299
S 0.650 0.299 0.358